# 1
Computed, not measured: crystalline SrInTe2 at its relaxed geometry at the GGA-PBEsol level of DFT.

```
SrInTe2
1.0
4.513 0.000 0.000
0.000 2.158 6.605
0.000 -2.158 6.605
Sr In Te
1 1 2
Direct
0.000 0.000 0.000 Sr
0.500 0.771 0.771 In
0.000 0.297 0.297 Te
0.500 0.558 0.558 Te
```

Results
density: 5.91 g/cm³


# 2
Computed, not measured: crystalline SrIn2Te4 at its relaxed geometry at the GGA-PBEsol level of DFT.

```
SrIn2Te4
1.0
-4.219 4.219 3.474
4.219 -4.219 3.474
4.219 4.219 -3.474
Sr In Te
1 2 4
Direct
0.000 0.000 0.000 Sr
0.250 0.750 0.500 In
0.750 0.250 0.500 In
0.204 0.665 0.870 Te
0.335 0.204 0.539 Te
0.665 0.796 0.461 Te
0.796 0.335 0.130 Te
```

Results
density: 5.55 g/cm³


# 3
Computed, not measured: crystalline SrInTe at its relaxed geometry at the GGA-PBEsol level of DFT.

```
SrInTe
1.0
-2.003 2.003 5.671
2.003 -2.003 5.671
2.003 2.003 -5.671
Sr In Te
1 1 1
Direct
0.000 0.000 0.000 Sr
0.310 0.310 0.000 In
0.668 0.668 0.000 Te
```

Results
density: 6.02 g/cm³


# 4
Computed, not measured: crystalline Sr2InTe at its relaxed geometry at the GGA-PBEsol level of DFT.

```
Sr2InTe
1.0
3.641 -4.437 0.000
3.641 4.437 0.000
0.000 0.000 3.949
Sr In Te
2 1 1
Direct
0.000 0.500 0.000 Sr
0.500 0.000 0.000 Sr
0.000 0.000 0.500 In
0.500 0.500 0.500 Te
```

Results
density: 5.44 g/cm³
energy relative to the lowest polymorph listed for this composition: 0.000 eV per atom


What uncorrected formation energy values result from the calculations? In sequence: -0.9393, -0.6195, -0.6824, -0.8580 eV/atom.